Below is a relaxed structure of Np2UN3, with properties calculated at the PBE level.

The formation energy from raw total energies comes out at -7.09 eV/f.u. The calculation puts the density of states at the Fermi level at 25.71 states/eV/cell.

The space group is I4/mmm (No. 139) and the conventional cell measures 3.444, 3.444 and 14.585 Å, with angles of 90.00, 90.00 and 90.00 degrees. Symmetry generates all atoms from Np at (0.000, 0.000, 0.167), U at (0.000, 0.000, 0.500), N at (0.000, 0.000, 0.000) and N at (0.000, 0.000, 0.334).

---

Below is a relaxed structure of NpU2N4, with properties calculated at the PBE level.

The formation energy from raw total energies comes out at -8.05 eV/f.u. The calculation puts the density of states at the Fermi level at 111.67 states/eV/cell. The energy above the most stable polymorph in this dataset comes out at 0.0 kJ/mol of atoms.

The space group is Fd-3m (No. 227, origin choice 2) and the conventional cell measures 9.720, 9.720 and 9.720 Å, with angles of 90.00, 90.00 and 90.00 degrees. Symmetry generates all atoms from Np at (0.125, 0.125, 0.125), U at (0.000, 0.000, 0.500) and N at (0.014, 0.014, 0.736).

---

Below is a relaxed structure of NpUN, with properties calculated at the PBE level.

The formation energy from raw total energies comes out at -2.37 eV/f.u. The calculation puts the density of states at the Fermi level at 10.70 states/eV/cell. The energy above the most stable polymorph in this dataset comes out at 8.6 kJ/mol of atoms.

The space group is Cm (No. 8) and the conventional cell measures 5.705, 3.345 and 4.928 Å, with angles of 90.00, 101.61 and 90.00 degrees. Symmetry generates all atoms from Np at (0.000, 0.000, 0.000), U at (0.084, 0.500, 0.384) and N at (0.292, 0.000, 0.696).

---

What are the energy values for these records? In order: -11.539, -10.981, -11.640 eV per atom.